[1]
VASP calculation (GGA-PBE) on CuRe2Ir after structural relaxation.

Summary:
The energy above the most stable polymorph in this dataset is 0.0 meV per atom. Its space group is P4mm, No. 99.

a = 2.757 Å, b = 2.757 Å, c = 7.471 Å
α = 90.00°, β = 90.00°, γ = 90.00°
Element x y z (fractional)
Cu 0.000 0.000 0.000
Re 0.000 0.000 0.491
Re 0.500 0.500 0.757
Ir 0.500 0.500 0.245

***

[2]
VASP calculation (GGA-PBE) on CoMo2 after structural relaxation.

Summary:
Its space group is I4_1/amd, No. 141.

a = 12.232 Å, b = 12.232 Å, c = 12.232 Å
α = 162.31°, β = 162.31°, γ = 25.12°
Element x y z (fractional)
Co 0.287 0.537 0.750
Co 0.463 0.713 0.750
Co 0.537 0.287 0.250
Co 0.713 0.463 0.250
Mo 0.038 0.788 0.250
Mo 0.123 0.373 0.750
Mo 0.212 0.962 0.250
Mo 0.373 0.123 0.250
Mo 0.627 0.877 0.750
Mo 0.788 0.038 0.750
Mo 0.877 0.627 0.250
Mo 0.962 0.212 0.750

***

Number 1: E_tot -9.37 eV/atom, total magnetic moment 0.00 μB/cell, ΔH_f (0 K) 93 meV/atom. Number 2: E_tot -9.45 eV/atom, total magnetic moment 0.00 μB/cell, ΔH_f (0 K) 135 meV/atom.